VASP calculation (GGA+U) on crystalline FeMoIrO6 at its relaxed geometry.

a = 4.666 Å, b = 4.666 Å, c = 8.863 Å
α = 90.00°, β = 90.00°, γ = 90.00°
Fractional coordinates of all 18 atoms:
Fe: 0.000 0.000 0.000
Fe: 0.500 0.500 0.500
Mo: 0.000 0.000 0.339
Mo: 0.500 0.500 0.839
Ir: 0.000 0.000 0.659
Ir: 0.500 0.500 0.159
O: 0.194 0.194 0.834
O: 0.198 0.198 0.167
O: 0.214 0.214 0.493
O: 0.286 0.714 0.993
O: 0.302 0.698 0.667
O: 0.306 0.694 0.334
O: 0.694 0.306 0.334
O: 0.698 0.302 0.667
O: 0.714 0.286 0.993
O: 0.786 0.786 0.493
O: 0.802 0.802 0.167
O: 0.806 0.806 0.834

Properties
D(E_F): 0.69 states/eV/f.u.
total energy: -121.951 eV for the cell shown
size of the total moment: 1.9 Bohr magnetons per cell
SG: P4_2nm, No. 102